Entry 1:
Crystalline Li3Tl5Br12 at its relaxed geometry, computed with PBE.

Properties
formation energy without anion corrections = -721 meV per atom

The structure in extended XYZ format:
```
80
Lattice="-6.339 -12.825 6.714 13.286 -4.028 -7.548 3.314 10.692 11.155" Properties=species:S:1:pos:R:3 pbc="T T T"
Li 9.619 3.632 6.721
Li 0.602 -5.013 6.492
Li 5.429 6.746 8.712
Li 3.505 -1.507 9.731
Li 8.942 -6.460 5.402
Li 6.755 -4.654 0.589
Li 0.642 -9.793 3.599
Li 13.318 2.891 2.600
Li -3.058 -9.052 7.720
Li 1.319 0.300 4.918
Li 9.659 -1.148 3.828
Li 4.832 -12.906 1.607
Br -0.901 -1.988 5.925
Br 3.674 -4.216 7.781
Br 7.837 -11.263 1.639
Br -1.732 -2.780 15.007
Br 2.359 -1.425 12.958
Br 4.901 -2.458 -1.119
Br 2.052 -2.982 4.268
Br 10.228 0.263 6.805
Br 7.937 1.723 4.553
Br 11.162 -4.172 4.395
Br 9.038 -6.657 1.984
Br 1.222 0.497 8.336
Br 5.359 -3.703 11.439
Br 6.587 -1.944 2.539
Br 7.809 6.519 6.376
Br 2.324 -7.883 5.767
Br 12.949 -0.197 3.825
Br 7.001 -13.647 -0.826
Br 12.854 3.247 5.975
Br 11.992 -3.380 -4.687
Br 8.209 -3.179 6.052
Br 4.149 -0.370 6.565
Br -0.369 -10.770 6.722
Br 10.630 4.609 3.598
Br 3.259 7.486 11.146
Br -2.594 -9.408 4.345
Br 12.671 -0.928 -2.241
Br 2.452 -12.680 3.944
Br 10.593 1.106 1.543
Br -2.411 -5.232 12.561
Br 6.468 3.601 7.840
Br 6.494 -7.556 -1.050
Br -0.333 -7.267 8.777
Br 3.767 1.395 11.370
Br 0.033 -6.423 3.515
Br 3.792 -9.762 2.480
Br 0.656 -3.380 9.408
Br 7.645 -6.745 8.559
Br 3.404 -5.308 0.326
Br 2.615 0.585 1.761
Br 6.857 -0.853 9.994
Br 7.901 -4.736 -2.638
Br 6.941 -9.070 6.000
Br 9.604 -2.781 0.912
Br -2.688 -5.963 6.495
Br 6.111 -5.790 3.755
Br 3.320 2.910 4.320
Br 2.424 5.103 8.681
Tl -1.513 -1.066 8.934
Tl 1.657 5.346 5.577
Tl -0.154 -5.546 10.959
Tl 4.792 -8.126 4.500
Tl 3.473 -8.426 -0.417
Tl -3.170 -6.412 3.357
Tl 10.415 -0.615 -0.639
Tl 5.130 -3.080 5.160
Tl 5.018 -0.441 0.797
Tl 6.643 -2.014 -3.774
Tl 5.242 -5.720 9.523
Tl 1.769 2.707 9.940
Tl 5.469 1.966 5.819
Tl -0.194 -0.766 13.852
Tl 1.359 -4.480 2.025
Tl 8.902 -1.681 8.295
Tl 8.492 -8.867 0.380
Tl 8.300 3.332 1.803
Tl 10.455 -5.394 -3.532
Tl 0.000 0.000 0.000
```



Entry 2:
Crystalline Hf3TiFe8 at its relaxed geometry, computed with PBE.

Properties
ΔH_f (0 K) = -0.335 eV/atom

The structure in extended XYZ format:
```
12
Lattice="4.693 0.000 1.417 2.132 4.180 1.417 -0.007 -0.004 8.503" Properties=species:S:1:pos:R:3 pbc="T T T"
Fe 5.328 1.824 3.557
Fe 2.979 1.824 2.848
Fe 4.046 3.917 3.557
Fe 4.686 2.870 9.918
Fe 6.397 3.918 8.485
Fe 5.332 1.831 7.778
Fe 4.054 3.918 7.778
Fe 1.278 0.783 4.248
Ti 5.965 3.653 5.682
Hf 3.422 2.096 5.624
Hf 2.556 1.565 8.495
Hf 6.811 4.171 2.881
```